Material: SrAcIr
Method: DFT, PBE
State: optimized geometry

## Properties
Electronic total energy = -5.18 eV/atom
Volume = 33.552 Å³/atom
Formation energy from the elements = -29 kJ/mol of atoms
Total magnetic moment = 0.00 μB/cell
Excess energy over the best structure of this formula in the dataset = 87 meV/atom
Density = 8.36 g cm⁻³

a = 7.636 Å, b = 7.636 Å, c = 7.636 Å
α = 151.58°, β = 151.58°, γ = 40.63°
Sites, in units of the cell vectors:
Sr1 0.000 0.000 0.000
Ac1 0.243 0.243 0.000
Ir1 0.637 0.637 0.000